HfUNiO6: relaxed, GGA+U. Values from VASP.

Results
The total magnetic moment is 4.0 μB per cell. As for the space group: No. 163. For the electronic total energy, the calculation gives -8.695 eV/atom. The density is 8.46 Mg/m³.

```
&SYSTEM
  ibrav = 0, nat = 18, ntyp = 4
/
ATOMIC_SPECIES
O 16.00 O.upf
Hf 178.49 Hf.upf
Ni 58.69 Ni.upf
U 238.03 U.upf
CELL_PARAMETERS angstrom
-2.9990 3.0686 -3.0197
-1.2864 -5.0356 0.7186
-5.1289 2.3827 7.5148
ATOMIC_POSITIONS angstrom
O -3.3125 0.2411 2.0315
O -4.0797 1.7203 -1.8132
O -3.5386 -1.0104 -0.5780
O -5.4951 -2.5261 4.4526
O -5.7633 0.5717 0.2539
O -7.7656 -0.8970 5.2384
O -3.6509 -0.1560 4.9598
O -5.3345 -1.3047 7.0269
O -5.8756 1.4261 5.7918
O -1.6486 1.3127 -0.0247
O -6.1017 0.1746 3.1823
O -3.9191 2.9418 0.7611
Hf -2.5644 1.1913 3.7574
Hf 0.0000 0.0000 0.0000
Ni -3.1395 -1.7385 1.3512
Ni -6.2747 2.1542 3.8625
U -3.7103 0.9628 0.1051
U -5.7039 -0.5472 5.1086
```